Entry 1:
Below is a relaxed structure of KTaSb2Te, with properties calculated at the PBE level.

Computed properties:
The calculation puts the excess energy over the best structure of this formula in the dataset at 578 meV/atom. The value obtained for the total energy is -4.343 eV/atom. The value obtained for the uncorrected formation energy is 0.524 eV/atom.

Unit cell a=5.3125 b=5.3125 c=6.7083 alpha=90.00 beta=90.00 gamma=90.00
Space group P4/mmm (No. 123)
Asymmetric unit:
K: 0.0000 0.0000 0.0000 [1 per cell]
Ta: 0.0000 0.0000 0.5000 [1 per cell]
Sb: 0.0000 0.5000 0.5000 [2 per cell]
Te: 0.5000 0.5000 0.0000 [1 per cell]

***

Entry 2:
Below is a relaxed structure of MnH6Pd3, with properties calculated at the PBE level.

Computed properties:
The value obtained for the total energy is -4.483 eV/atom.

Unit cell a=7.4013 b=2.8857 c=7.5150 alpha=90.00 beta=101.45 gamma=90.00
Space group P2_1/m (No. 11)
Asymmetric unit:
Mn: 0.1786 0.2500 0.0589 [2 per cell]
H: 0.0607 0.7500 0.9385 [2 per cell]
H: 0.0897 0.2500 0.4662 [2 per cell]
H: 0.2222 0.7500 0.2719 [2 per cell]
H: 0.2541 0.2500 0.8174 [2 per cell]
H: 0.3506 0.7500 0.0651 [2 per cell]
H: 0.4296 0.7500 0.5978 [2 per cell]
Pd: 0.0183 0.2500 0.6860 [2 per cell]
Pd: 0.3272 0.2500 0.4406 [2 per cell]
Pd: 0.4083 0.7500 0.8349 [2 per cell]

***

Entry 3:
Below is a relaxed structure of SrCd3Hg6, with properties calculated at the PBE level.

Computed properties:
The calculation puts the formation energy at -0.13 eV/atom. The calculation puts the excess energy over the best structure of this formula in the dataset at 8 meV/atom. The value obtained for the total energy is -0.755 eV/atom.

Unit cell a=8.3488 b=7.8721 c=9.3714 alpha=90.00 beta=120.07 gamma=90.00
Space group P2_1/c (No. 14)
Asymmetric unit:
Sr: 0.0000 0.0000 0.0000 [2 per cell]
Cd: 0.2532 0.1534 0.4603 [4 per cell]
Cd: 0.5000 0.0000 0.0000 [2 per cell]
Hg: 0.1081 0.0749 0.6852 [4 per cell]
Hg: 0.2569 0.7117 0.8501 [4 per cell]
Hg: 0.4652 0.1240 0.2804 [4 per cell]

***

Entry 4:
Below is a relaxed structure of TiV2H3, with properties calculated at the PBE level.

Computed properties:
The value obtained for the total energy is -6.092 eV/atom.

Unit cell a=14.5778 b=2.8268 c=5.1106 alpha=90.00 beta=98.48 gamma=90.00
Space group C2/m (No. 12)
Asymmetric unit:
Ti: 0.1510 0.0000 0.3552 [4 per cell]
V: 0.0454 0.5000 0.7752 [4 per cell]
V: 0.1900 0.0000 0.8716 [4 per cell]
H: 0.0658 0.5000 0.4258 [4 per cell]
H: 0.0777 0.0000 0.0030 [4 per cell]
H: 0.2096 0.5000 0.6216 [4 per cell]

***

Entry 5:
Below is a relaxed structure of ZnFe6H3, with properties calculated at the PBE level.

Computed properties:
The value obtained for the total energy is -6.064 eV/atom.

Unit cell a=5.0035 b=5.0036 c=5.2098 alpha=61.37 beta=61.33 gamma=60.04
Space group P1 (No. 1)
Asymmetric unit:
Zn: 0.0000 0.0000 0.0000 [1 per cell]
Fe: 0.0021 0.4795 0.9892 [1 per cell]
Fe: 0.1395 0.8709 0.4902 [1 per cell]
Fe: 0.4794 0.5293 0.9890 [1 per cell]
Fe: 0.4988 0.1371 0.4905 [1 per cell]
Fe: 0.5293 0.0027 0.9885 [1 per cell]
Fe: 0.8740 0.4991 0.4904 [1 per cell]
H: 0.2443 0.2434 0.2673 [1 per cell]
H: 0.4290 0.4277 0.7120 [1 per cell]
H: 0.7594 0.7597 0.7223 [1 per cell]

***

Entry 6:
Below is a relaxed structure of NpAuC, with properties calculated at the PBE level.

Computed properties:
The calculation puts the formation energy at 0.39 eV/atom. The value obtained for the total energy is -8.091 eV/atom.

Unit cell a=2.9711 b=19.4500 c=3.5322 alpha=90.00 beta=90.00 gamma=90.00
Space group Cmcm (No. 63)
Asymmetric unit:
Np: 0.0000 0.0705 0.2500 [4 per cell]
Au: 0.0000 0.2036 0.7500 [4 per cell]
C: 0.0000 0.4531 0.2500 [4 per cell]

***

Entry 7:
Below is a relaxed structure of CrRe2MoH, with properties calculated at the PBE level.

Computed properties:
The value obtained for the total energy is -9.555 eV/atom.

Unit cell a=3.9620 b=3.9620 c=3.8327 alpha=90.00 beta=90.00 gamma=90.00
Space group P4/mmm (No. 123)
Asymmetric unit:
Cr: 0.0000 0.0000 0.0000 [1 per cell]
Re: 0.0000 0.5000 0.5000 [2 per cell]
Mo: 0.5000 0.5000 0.0000 [1 per cell]
H: 0.0000 0.0000 0.5000 [1 per cell]

***

Number 1: total magnetization 1.7 Bohr magnetons per cell. Number 2: total magnetization 6.0 Bohr magnetons per cell. Number 3: total magnetization 0.0 Bohr magnetons per cell. Number 4: total magnetization 0.0 Bohr magnetons per cell. Number 5: total magnetization 14.5 Bohr magnetons per cell. Number 6: total magnetization 10.1 Bohr magnetons per cell. Number 7: total magnetization 0.5 Bohr magnetons per cell.